Entry from Alexandria via LeMat-Bulk: crystalline CeScSi2Ni2 at its relaxed geometry (PBE-GGA).

a b c (Å): 4.1056 4.1056 6.9130
angles (deg): 90.00 90.00 120.00
Last column: nearest neighbours and their distance in Å.
Fractional positions:
Ce 0.0000 0.0000 0.0000  6 Si 3.06, 6 Ni 3.19
Sc 0.0000 0.0000 0.5000  6 Ni 2.72, 6 Si 2.82
Si 0.3333 0.6667 0.2798  3 Ni 2.38
Si 0.6667 0.3333 0.7202  3 Ni 2.38
Ni 0.3333 0.6667 0.6916  3 Si 2.38
Ni 0.6667 0.3333 0.3084  3 Si 2.38

## Properties
For the raw formation energy, the calculation gives -0.810 eV per atom. The calculation puts the final energy at -6.589 eV per atom.